Run A
Compound: Ni3AgF
Source: the Alexandria database
Functional: PBE with a Hubbard U
Structure: optimized geometry

a = 4.8205 Å, b = 4.8205 Å, c = 4.8205 Å
α = 90.00°, β = 90.00°, γ = 90.00°
Space group Pm-3m (No. 221)
One atom of each set of equivalent atoms:
1 Ni 0.0000 0.0000 0.5000 [3 per cell]
2 Ag 0.0000 0.0000 0.0000 [1 per cell]
3 F 0.5000 0.5000 0.5000 [1 per cell]

Results
- DOS(E_F) (states/eV/atom) = 0.442

=====

Run B
Compound: Ni3AgF
Source: the Alexandria database
Functional: PBE with a Hubbard U
Structure: optimized geometry

a = 4.1079 Å, b = 4.1079 Å, c = 4.1079 Å
α = 90.00°, β = 90.00°, γ = 90.00°
Space group Pm-3m (No. 221)
One atom of each set of equivalent atoms:
1 Ni 0.0000 0.0000 0.5000 [3 per cell]
2 Ag 0.5000 0.5000 0.5000 [1 per cell]
3 F 0.0000 0.0000 0.0000 [1 per cell]

Results
- DOS(E_F) (states/eV/atom) = 0.249

=====

Quick one: least stable of them? run A

=====

Run A
Compound: NiAg2F
Source: the Alexandria database
Functional: PBE with a Hubbard U
Structure: optimized geometry

a = 6.1564 Å, b = 6.1564 Å, c = 6.1564 Å
α = 90.00°, β = 90.00°, γ = 90.00°
Space group Fm-3m (No. 225)
One atom of each set of equivalent atoms:
1 Ni 0.0000 0.0000 0.0000 [4 per cell]
2 Ag 0.2500 0.2500 0.2500 [8 per cell]
3 F 0.0000 0.0000 0.5000 [4 per cell]

Results
- DOS(E_F) (states/eV/atom) = 1.677

=====

Run B
Compound: NiAg2F
Source: the Alexandria database
Functional: PBE with a Hubbard U
Structure: optimized geometry

a = 6.8253 Å, b = 6.8253 Å, c = 5.6222 Å
α = 90.00°, β = 90.00°, γ = 90.00°
Space group I-42d (No. 122)
One atom of each set of equivalent atoms:
1 Ni 0.0000 0.0000 0.0000 [4 per cell]
2 Ag 0.2152 0.2500 0.6250 [8 per cell]
3 F 0.0000 0.0000 0.5000 [4 per cell]

Results
- DOS(E_F) (states/eV/atom) = 0.340

=====

Quick one: least stable of them? run A

=====

Run A
Compound: Ni2AgF6
Source: the Alexandria database
Functional: PBE with a Hubbard U
Structure: optimized geometry

a = 4.8027 Å, b = 4.8027 Å, c = 9.9166 Å
α = 90.00°, β = 90.00°, γ = 90.00°
Space group P4_2/mnm (No. 136)
One atom of each set of equivalent atoms:
1 Ni 0.0000 0.0000 0.1690 [4 per cell]
2 Ag 0.0000 0.0000 0.5000 [2 per cell]
3 F 0.1819 0.1819 0.0000 [4 per cell]
4 F 0.2052 0.2052 0.3178 [8 per cell]

Results
- DOS(E_F) (states/eV/atom) = 0.488

=====

Run B
Compound: Ni2AgF6
Source: the Alexandria database
Functional: PBE with a Hubbard U
Structure: optimized geometry

a = 9.3665 Å, b = 9.3665 Å, c = 4.6554 Å
α = 90.00°, β = 90.00°, γ = 120.00°
Space group P-3m1 (No. 164)
One atom of each set of equivalent atoms:
1 Ni 0.0000 0.3391 0.0000 [6 per cell]
2 Ag 0.0000 0.0000 0.0000 [1 per cell]
3 Ag 0.3333 0.6667 0.4955 [2 per cell]
4 F 0.0961 0.5481 0.7694 [6 per cell]
5 F 0.1208 0.2417 0.7798 [6 per cell]
6 F 0.2150 0.4301 0.2269 [6 per cell]

Results
- DOS(E_F) (states/eV/atom) = 0.697

=====

Quick one: least stable of them? run B